Arrangement one

Re2AgRu after structural relaxation. Source: Alexandria, functional PBE-GGA.

The space group is R-3m (No. 166, hexagonal axes) and the conventional cell measures 2.7676, 2.7676 and 27.8198 Å, with angles of 90.00, 90.00 and 120.00 degrees. Symmetry generates all atoms from Re at (0.0000, 0.0000, 0.2438), Ag at (0.0000, 0.0000, 0.0000) and Ru at (0.0000, 0.0000, 0.5000).

The value obtained for the mass density is 15.69 Mg/m³.

***

Arrangement two

Re2AgRu after structural relaxation. Source: Alexandria, functional PBE-GGA.

The space group is I4/mmm (No. 139) and the conventional cell measures 3.812, 3.812 and 8.322 Å, with angles of 90.00, 90.00 and 90.00 degrees. Symmetry generates all atoms from Re at (0.000, 0.500, 0.250), Ag at (0.000, 0.000, 0.000) and Ru at (0.000, 0.000, 0.500).

The value obtained for the mass density is 15.97 Mg/m³.

***

Short version: arrangement one is the most stable of them.

***

Arrangement one

ReAgRu after structural relaxation. Source: Alexandria, functional PBE-GGA.

The space group is Imm2 (No. 44) and the conventional cell measures 2.801, 3.817 and 8.618 Å, with angles of 90.00, 90.00 and 90.00 degrees. Symmetry generates all atoms from Re at (0.000, 0.000, 0.000), Ag at (0.000, 0.000, 0.319) and Ru at (0.000, 0.000, 0.638).

The value obtained for the mass density is 14.24 Mg/m³.

***

Arrangement two

ReAgRu after structural relaxation. Source: Alexandria, functional PBE-GGA.

The space group is Fmm2 (No. 42) and the conventional cell measures 2.861, 4.610 and 14.434 Å, with angles of 90.00, 90.00 and 90.00 degrees. Symmetry generates all atoms from Re at (0.000, 0.000, 0.000), Ag at (0.000, 0.000, 0.322) and Ru at (0.000, 0.000, 0.647).

The value obtained for the mass density is 13.79 Mg/m³.

***

Short version: arrangement one is the most stable of them.